# Tl2ZnAu

Crystalline Tl2ZnAu at its relaxed geometry (PBE, the Alexandria database).

Structure (POSCAR):
```
Tl2ZnAu
1.0
1.866 1.077 8.347
-1.866 1.077 8.347
0.000 -2.155 8.347
Tl Zn Au
2 1 1
Direct
0.248 0.248 0.248
0.752 0.752 0.752
0.000 0.000 0.000
0.500 0.500 0.500
```

## Properties
The value obtained for the formation energy is 0.1081 eV/atom. The density of states at the Fermi level is 1.2 states/eV/f.u. As for the space group: R-3m, No. 166.



# La5Sm4Th

Crystalline La5Sm4Th at its relaxed geometry (PBE, the Alexandria database).

Structure (POSCAR):
```
La5Sm4Th
1.0
6.586 0.000 0.000
0.459 6.726 0.000
1.862 2.910 8.040
La Sm Th
5 4 1
Direct
0.000 0.000 0.000
0.229 0.871 0.564
0.332 0.312 0.687
0.668 0.688 0.313
0.771 0.129 0.436
0.188 0.526 0.317
0.472 0.210 0.101
0.528 0.790 0.899
0.812 0.474 0.683
0.000 0.500 0.000
```

## Properties
The value obtained for the formation energy is 0.1425 eV/atom. The density of states at the Fermi level is 16.9 states/eV/f.u. As for the space group: P-1, No. 2.



# TiGaI2N

Crystalline TiGaI2N at its relaxed geometry (PBE, the Alexandria database).

Structure (POSCAR):
```
TiGaI2N
1.0
5.822 0.000 0.000
0.000 5.822 0.000
0.000 0.000 3.586
Ti Ga I N
1 1 2 1
Direct
0.000 0.000 0.000
0.500 0.500 0.500
0.000 0.500 0.500
0.500 0.000 0.500
0.500 0.500 0.000
```

## Properties
Its uncorrected formation energy is 563 meV/atom. The density of states at the Fermi level is 5.3 states/eV/f.u. As for the space group: P4/mmm, No. 123.



# Li2MnZnGa

Crystalline Li2MnZnGa at its relaxed geometry (PBE, the Alexandria database).

Structure (POSCAR):
```
Li2MnZnGa
1.0
4.814 0.000 0.000
0.000 4.814 0.000
0.000 0.000 4.763
Li Mn Zn Ga
2 1 1 1
Direct
0.000 0.500 0.000
0.500 0.000 0.000
0.000 0.000 0.000
0.000 0.000 0.500
0.500 0.500 0.500
```

## Properties
The value obtained for the formation energy is 0.6608 eV/atom. The density of states at the Fermi level is 4.4 states/eV/f.u. As for the space group: P4/mmm, No. 123.